(1)
! PmInRh2 | the Alexandria database | PBE-GGA | relaxed; values from VASP
! Energy relative to the elements: -0.555 eV per atom
! Energy: -6.10 eV per atom
! M_tot: 0.00 μB/f.u.
&SYSTEM
  ibrav = 0, nat = 4, ntyp = 3
/
ATOMIC_SPECIES
Rh 102.91 Rh.upf
Pm 145.00 Pm.upf
In 114.82 In.upf
ATOMIC_POSITIONS crystal
Rh 0.000 0.000 0.771
Pm 0.500 0.500 0.500
Rh 0.000 0.000 0.229
In 0.500 0.500 0.000
CELL_PARAMETERS angstrom
-3.346 0.438 -0.682
0.584 -0.701 -3.319
-1.063 -6.326 1.149

(2)
! CaPr4Er | the Alexandria database | PBE-GGA | relaxed; values from VASP
! Energy relative to the elements: 0.222 eV per atom
! Distance to the lowest polymorph of the same formula: 0.190 eV per atom
! Energy: -4.06 eV per atom
! M_tot: 0.00 μB/f.u.
&SYSTEM
  ibrav = 0, nat = 6, ntyp = 3
/
ATOMIC_SPECIES
Er 167.26 Er.upf
Pr 140.91 Pr.upf
Ca 40.08 Ca.upf
ATOMIC_POSITIONS crystal
Er 0.000 0.000 0.000
Pr 0.627 0.627 0.627
Pr 0.627 0.120 0.627
Pr 0.120 0.627 0.627
Pr 0.627 0.627 0.120
Ca 0.250 0.250 0.250
CELL_PARAMETERS angstrom
-0.905 -5.765 -3.558
2.930 -5.807 2.100
-3.845 -5.033 2.569

(3)
! AlRh | the Alexandria database | PBE-GGA | relaxed; values from VASP
! Energy relative to the elements: -0.785 eV per atom
! Energy: -6.33 eV per atom
! M_tot: 0.00 μB/f.u.
&SYSTEM
  ibrav = 0, nat = 4, ntyp = 2
/
ATOMIC_SPECIES
Al 26.98 Al.upf
Rh 102.91 Rh.upf
ATOMIC_POSITIONS crystal
Al 0.333 0.667 0.250
Al 0.667 0.333 0.750
Rh 0.000 0.000 0.000
Rh 0.000 0.000 0.500
CELL_PARAMETERS angstrom
-1.978 0.686 -2.015
2.564 -1.108 -0.799
-2.971 -7.212 0.462

(4)
! NdHoTh | the Alexandria database | PBE-GGA | relaxed; values from VASP
! Energy relative to the elements: 0.033 eV per atom
! Distance to the lowest polymorph of the same formula: 0.007 eV per atom
! Energy: -5.56 eV per atom
! M_tot: 0.00 μB/f.u.
&SYSTEM
  ibrav = 0, nat = 3, ntyp = 3
/
ATOMIC_SPECIES
Th 232.04 Th.upf
Nd 144.24 Nd.upf
Ho 164.93 Ho.upf
ATOMIC_POSITIONS crystal
Th 0.331 0.331 0.662
Nd 0.994 0.994 0.988
Ho 0.675 0.675 0.350
CELL_PARAMETERS angstrom
-2.668 -1.369 2.009
-0.474 -2.633 -2.423
6.580 -2.314 3.918

(5)
! HfTa3Ga | the Alexandria database | PBE-GGA | relaxed; values from VASP
! Energy relative to the elements: 1.903 eV per atom
! Distance to the lowest polymorph of the same formula: 0.930 eV per atom
! Energy: -7.80 eV per atom
! M_tot: 0.00 μB/f.u.
&SYSTEM
  ibrav = 0, nat = 5, ntyp = 3
/
ATOMIC_SPECIES
Ta 180.95 Ta.upf
Hf 178.49 Hf.upf
Ga 69.72 Ga.upf
ATOMIC_POSITIONS crystal
Ta 0.000 0.000 0.500
Hf 0.000 0.000 0.000
Ta 0.000 0.500 0.000
Ga 0.500 0.500 0.500
Ta 0.500 0.000 0.000
CELL_PARAMETERS angstrom
4.907 0.000 0.000
0.000 4.907 0.000
0.000 0.000 4.907

(6)
! MnNi3Ir | the Alexandria database | PBE-GGA | relaxed; values from VASP
! Energy relative to the elements: 0.077 eV per atom
! Distance to the lowest polymorph of the same formula: 0.000 eV per atom
! Energy: -7.00 eV per atom
! M_tot: 5.02 μB/f.u.
&SYSTEM
  ibrav = 0, nat = 10, ntyp = 3
/
ATOMIC_SPECIES
Ni 58.69 Ni.upf
Mn 54.94 Mn.upf
Ir 192.22 Ir.upf
ATOMIC_POSITIONS crystal
Ni 0.807 0.250 0.443
Mn 0.370 0.250 0.622
Ni 0.084 0.503 0.200
Ir 0.521 0.250 0.051
Ni 0.916 0.497 0.800
Ni 0.084 0.997 0.200
Ni 0.916 0.003 0.800
Ni 0.193 0.750 0.557
Ir 0.479 0.750 0.949
Mn 0.630 0.750 0.378
CELL_PARAMETERS angstrom
4.127 0.000 -0.555
0.000 4.901 0.000
-0.743 0.000 6.263

What is the formula in the fourth record?
NdHoTh